Compound: VCoTc2O
Source: Alexandria
Functional: PBE+U
Structure: relaxed

- Space group: No. 123
- DFT total energy: -31.85 eV/f.u.

```
VCoTc2O
1.0
4.6824 0.0000 0.0000
0.0000 3.3256 0.0000
0.0000 0.0000 4.6824
Tc V Co O
2 1 1 1
direct
0.5000 0.0000 0.0000
0.0000 0.0000 0.5000
0.5000 0.5000 0.5000
0.0000 0.0000 0.0000
0.0000 0.5000 0.0000
```